[1]
Compound: YPaPt2
Source: Alexandria
Functional: GGA-PBE
Structure: relaxed

Polymorph energy (0 for the lowest one) = 0.763 eV per formula unit
Formation energy = -3.7 eV per formula unit
Crystal system = trigonal

abc: 5.2137 5.2137 5.2137
angles: 55.42 55.42 55.42
With the nearest neighbours (Å) after each atom.
Atoms (fractional coordinates):
Y 0.0000 0.0000 0.0000  8 Pt 2.98-3.14
Pa 0.5000 0.5000 0.5000  6 Pt 2.91
Pt 0.2258 0.2258 0.2258  3 Pa 2.91, 4 Y 2.98-3.14, 3 Pt 3.20
Pt 0.7742 0.7742 0.7742  3 Pa 2.91, 4 Y 2.98-3.14, 3 Pt 3.20

=====

[2]
Compound: YPaPt4
Source: Alexandria
Functional: GGA-PBE
Structure: relaxed

Formation energy = -5.8 eV per formula unit
Crystal system = cubic

abc: 5.4411 5.4411 5.4411
angles: 60.00 60.00 60.00
With the nearest neighbours (Å) after each atom.
Atoms (fractional coordinates):
Y 0.0000 0.0000 0.0000  12 Pt 3.19, 4 Pa 3.33
Pa 0.7500 0.7500 0.7500  12 Pt 3.19, 4 Y 3.33
Pt 0.3748 0.3748 0.3748  6 Pt 2.72
Pt 0.3748 0.3748 0.8756  6 Pt 2.72
Pt 0.3748 0.8756 0.3748  6 Pt 2.72
Pt 0.8756 0.3748 0.3748  6 Pt 2.72

=====

In the order shown, the computed DFT total energy values come out to -31.76, -45.93 eV/cell.